First-principles (GGA-PBEsol) data for crystalline YMnRh2 at its relaxed geometry, as listed in Alexandria.

Computed properties:
The value obtained for the density of states at the Fermi level is 4.52 states/eV/cell. The calculation puts the magnetic moment at 1.01 μB/atom. As for the space-group type: I-4m2. The value obtained for the formation enthalpy at 0 K is -0.73 eV/f.u.

```
4
Lattice="3.867 0.000 0.000 0.000 3.867 0.000 -1.934 -1.934 4.342" Properties=species:S:1:pos:R:3 pbc="T T T"
Rh 1.934 0.000 2.171
Rh 0.000 0.000 0.000
Mn 0.000 1.934 2.171
Y 1.934 1.934 0.000
```

First-principles (GGA-PBEsol) data for crystalline MnZn2Rh at its relaxed geometry, as listed in Alexandria.

Computed properties:
The value obtained for the density of states at the Fermi level is 2.31 states/eV/cell. The calculation puts the magnetic moment at 0.74 μB/atom. As for the space-group type: R-3m. The value obtained for the formation enthalpy at 0 K is -0.05 eV/f.u.

```
4
Lattice="2.707 0.000 0.000 1.354 2.345 0.000 1.354 0.782 8.340" Properties=species:S:1:pos:R:3 pbc="T T T"
Mn 2.707 1.563 4.170
Zn 1.354 0.782 2.069
Zn 4.061 2.345 6.271
Rh 0.000 0.000 0.000
```